No. 1
VASP calculation (PBE) on a relaxed structure of Be2CrSe. Values from VASP.

Structure (Quantum ESPRESSO input):
```
&SYSTEM
  ibrav = 0, nat = 4, ntyp = 3
/
ATOMIC_SPECIES
Be 9.01 Be.upf
Se 78.96 Se.upf
Cr 52.00 Cr.upf
CELL_PARAMETERS angstrom
-1.4743 -2.7297 -0.4979
1.3699 -1.2064 2.5575
-3.5420 1.4428 2.5777
ATOMIC_POSITIONS crystal
Be 0.0000 0.0000 0.0239
Be 0.0000 0.0000 0.4761
Se 0.5000 0.5000 0.7500
Cr 0.5000 0.5000 0.2500
```

Calculated values
formation energy (no corrections) = 172 meV/atom
space-group type = No. 123
DOS(E_F) = 0.649 states/eV/atom
volume = 11.38 A^3/atom



No. 2
VASP calculation (PBE) on a relaxed structure of Be4CrSe. Values from VASP.

Structure (Quantum ESPRESSO input):
```
&SYSTEM
  ibrav = 0, nat = 6, ntyp = 3
/
ATOMIC_SPECIES
Cr 52.00 Cr.upf
Se 78.96 Se.upf
Be 9.01 Be.upf
CELL_PARAMETERS angstrom
3.4991 0.7267 2.5164
0.6508 3.9521 1.7496
-0.4877 0.5923 4.3029
ATOMIC_POSITIONS crystal
Cr 0.7500 0.7500 0.7500
Se 0.0000 0.0000 0.0000
Be 0.3783 0.3783 0.3783
Be 0.3783 0.3783 0.8652
Be 0.3783 0.8652 0.3783
Be 0.8652 0.3783 0.3783
```

Calculated values
formation energy (no corrections) = 227 meV/atom
space-group type = No. 216
DOS(E_F) = 0.545 states/eV/atom
volume = 9.84 A^3/atom



No. 3
VASP calculation (PBE) on a relaxed structure of BeCrSn2Se. Values from VASP.

Structure (Quantum ESPRESSO input):
```
&SYSTEM
  ibrav = 0, nat = 5, ntyp = 4
/
ATOMIC_SPECIES
Se 78.96 Se.upf
Cr 52.00 Cr.upf
Be 9.01 Be.upf
Sn 118.71 Sn.upf
CELL_PARAMETERS angstrom
4.8046 0.0000 0.0000
0.0000 4.8046 0.0000
0.0000 0.0000 4.7207
ATOMIC_POSITIONS crystal
Se 0.5000 0.5000 0.5000
Cr 0.0000 0.0000 0.5000
Be 0.0000 0.0000 0.0000
Sn 0.5000 0.0000 0.0000
Sn 0.0000 0.5000 0.0000
```

Calculated values
formation energy (no corrections) = 465 meV/atom
space-group type = No. 123
DOS(E_F) = 0.511 states/eV/atom
volume = 21.79 A^3/atom



No. 4
VASP calculation (PBE) on a relaxed structure of BeCrTcSe2. Values from VASP.

Structure (Quantum ESPRESSO input):
```
&SYSTEM
  ibrav = 0, nat = 5, ntyp = 4
/
ATOMIC_SPECIES
Se 78.96 Se.upf
Be 9.01 Be.upf
Cr 52.00 Cr.upf
Tc 98.00 Tc.upf
CELL_PARAMETERS angstrom
-3.5293 2.9135 1.5540
-2.6794 -3.1269 -0.2225
1.0211 -1.2001 4.5691
ATOMIC_POSITIONS crystal
Se 0.0000 0.0000 0.5000
Be 0.0000 0.5000 0.0000
Se 0.5000 0.0000 0.0000
Cr 0.5000 0.5000 0.5000
Tc 0.0000 0.0000 0.0000
```

Calculated values
formation energy (no corrections) = 1094 meV/atom
space-group type = No. 123
DOS(E_F) = 0.835 states/eV/atom
volume = 19.27 A^3/atom



No. 5
VASP calculation (PBE) on a relaxed structure of Be2ZnCrSe. Values from VASP.

Structure (Quantum ESPRESSO input):
```
&SYSTEM
  ibrav = 0, nat = 5, ntyp = 4
/
ATOMIC_SPECIES
Be 9.01 Be.upf
Se 78.96 Se.upf
Cr 52.00 Cr.upf
Zn 65.41 Zn.upf
CELL_PARAMETERS angstrom
-3.4153 1.9915 -1.2401
-1.5053 0.2871 4.6067
1.9630 3.6252 0.4155
ATOMIC_POSITIONS crystal
Be 0.0000 0.0000 0.5000
Se 0.5000 0.5000 0.5000
Cr 0.0000 0.5000 0.0000
Be 0.5000 0.0000 0.0000
Zn 0.0000 0.0000 0.0000
```

Calculated values
formation energy (no corrections) = 806 meV/atom
space-group type = No. 123
DOS(E_F) = 0.704 states/eV/atom
volume = 16.67 A^3/atom



No. 6
VASP calculation (PBE) on a relaxed structure of BeCr2Si. Values from VASP.

Structure (Quantum ESPRESSO input):
```
&SYSTEM
  ibrav = 0, nat = 4, ntyp = 3
/
ATOMIC_SPECIES
Si 28.09 Si.upf
Be 9.01 Be.upf
Cr 52.00 Cr.upf
CELL_PARAMETERS angstrom
4.4786 0.0040 -0.0024
-1.8319 4.0868 -0.0024
0.3280 0.5070 2.3813
ATOMIC_POSITIONS crystal
Si 0.5000 0.0000 0.5000
Be 0.0000 0.5000 0.5000
Cr 0.0000 0.0000 0.0000
Cr 0.5000 0.5000 0.0000
```

Calculated values
formation energy (no corrections) = -48 meV/atom
space-group type = No. 12
DOS(E_F) = 0.926 states/eV/atom
volume = 10.90 A^3/atom



No. 7
VASP calculation (PBE) on a relaxed structure of BeCr2Si. Values from VASP.

Structure (Quantum ESPRESSO input):
```
&SYSTEM
  ibrav = 0, nat = 4, ntyp = 3
/
ATOMIC_SPECIES
Be 9.01 Be.upf
Si 28.09 Si.upf
Cr 52.00 Cr.upf
CELL_PARAMETERS angstrom
-3.2139 -1.7262 1.4371
1.4336 0.3273 3.6349
-0.3274 3.1777 -2.2768
ATOMIC_POSITIONS crystal
Be 0.7503 0.2497 0.5000
Si 0.4997 0.5003 0.0000
Cr 0.2495 0.7505 0.5000
Cr 0.0004 0.9996 0.0000
```

Calculated values
formation energy (no corrections) = -164 meV/atom
space-group type = No. 119
DOS(E_F) = 0.227 states/eV/atom
volume = 10.66 A^3/atom



No. 8
VASP calculation (PBE) on a relaxed structure of Be2Cr2Si. Values from VASP.

Structure (Quantum ESPRESSO input):
```
&SYSTEM
  ibrav = 0, nat = 10, ntyp = 3
/
ATOMIC_SPECIES
Cr 52.00 Cr.upf
Be 9.01 Be.upf
Si 28.09 Si.upf
CELL_PARAMETERS angstrom
-3.7654 -4.1637 -0.8830
-0.6040 -0.6443 5.6137
-2.2885 2.0714 -0.0085
ATOMIC_POSITIONS crystal
Cr 0.3239 0.1761 0.5000
Cr 0.8239 0.3239 0.5000
Cr 0.1761 0.6761 0.5000
Be 0.6219 0.1219 0.0000
Si 0.5000 0.5000 0.0000
Be 0.1219 0.3781 0.0000
Cr 0.6761 0.8239 0.5000
Si 0.0000 0.0000 0.0000
Be 0.3781 0.8781 0.0000
Be 0.8781 0.6219 0.0000
```

Calculated values
formation energy (no corrections) = -143 meV/atom
space-group type = No. 127
DOS(E_F) = 0.675 states/eV/atom
volume = 9.97 A^3/atom